VASP calculation (GGA+U) on a relaxed Ca5WN4O2 crystal.

The space group is P2_1/m (No. 11) and the conventional cell measures 6.139, 6.799 and 8.526 Å, with angles of 90.00, 91.11 and 90.00 degrees. Symmetry generates all atoms from Ca at (0.000, 0.000, 0.000), Ca at (0.196, 0.250, 0.330), Ca at (0.267, 0.010, 0.666), Ca at (0.499, 0.750, 0.984), W at (0.281, 0.750, 0.322), N at (0.027, 0.750, 0.447), N at (0.334, 0.524, 0.190), N at (0.494, 0.250, 0.525), O at (0.153, 0.750, 0.829) and O at (0.192, 0.250, 0.872).

The calculation puts the magnetization at 0.0000 μB/atom. The calculation puts the total energy at -159.3 eV for the cell shown.